[1]
Entry from the Alexandria database: an optimized crystal structure of MnCrRu2W (GGA-PBE).

## Properties
energy of formation from the pure elements: 1.344 eV per atom
space group: P4/mmm (123)
density of states at the Fermi level: 8.213 states/eV per cell

a = 4.3477 Å, b = 4.3477 Å, c = 4.1152 Å
α = 90.00°, β = 90.00°, γ = 90.00°
Fractional coordinates of all 5 atoms:
Mn 0.0000 0.0000 0.0000
Cr 0.0000 0.0000 0.5000
Ru 0.0000 0.5000 0.0000
Ru 0.5000 0.0000 0.0000
W 0.5000 0.5000 0.5000


[2]
Entry from the Alexandria database: an optimized crystal structure of TiInReW2 (GGA-PBE).

## Properties
energy of formation from the pure elements: 1.714 eV per atom
space group: P4/mmm (123)
density of states at the Fermi level: 7.022 states/eV per cell

a = 4.7925 Å, b = 4.7925 Å, c = 4.9864 Å
α = 90.00°, β = 90.00°, γ = 90.00°
Fractional coordinates of all 5 atoms:
Ti 0.0000 0.0000 0.0000
In 0.5000 0.5000 0.0000
Re 0.5000 0.5000 0.5000
W 0.0000 0.5000 0.5000
W 0.5000 0.0000 0.5000


[3]
Entry from the Alexandria database: an optimized crystal structure of Ti12Si5Tc3 (GGA-PBE).

## Properties
ΔE_f (raw): 0.311 eV/atom
space group: Ia-3d (230)
density of states at the Fermi level: 88.360 states/eV per cell

a = 12.7392 Å, b = 12.7392 Å, c = 12.7392 Å
α = 109.47°, β = 109.47°, γ = 109.47°
Fractional coordinates of all 80 atoms:
Ti 0.0621 0.2279 0.1341
Ti 0.0621 0.3342 0.9280
Ti 0.0720 0.6341 0.4062
Ti 0.0720 0.9379 0.6658
Ti 0.0938 0.7279 0.6658
Ti 0.0938 0.8659 0.4280
Ti 0.1341 0.0621 0.2279
Ti 0.1341 0.5720 0.9062
Ti 0.1658 0.2279 0.5938
Ti 0.1658 0.4379 0.5720
Ti 0.2279 0.1341 0.0621
Ti 0.2279 0.5938 0.1658
Ti 0.2721 0.3342 0.9062
Ti 0.2721 0.4379 0.3659
Ti 0.3342 0.9062 0.2721
Ti 0.3342 0.9280 0.0621
Ti 0.3659 0.2721 0.4379
Ti 0.3659 0.5938 0.9280
Ti 0.4062 0.0720 0.6341
Ti 0.4062 0.8342 0.7721
Ti 0.4280 0.0938 0.8659
Ti 0.4280 0.8342 0.5621
Ti 0.4379 0.3659 0.2721
Ti 0.4379 0.5720 0.1658
Ti 0.5621 0.4280 0.8342
Ti 0.5621 0.6341 0.7279
Ti 0.5720 0.1658 0.4379
Ti 0.5720 0.9062 0.1341
Ti 0.5938 0.1658 0.2279
Ti 0.5938 0.9280 0.3659
Ti 0.6341 0.4062 0.0720
Ti 0.6341 0.7279 0.5621
Ti 0.6658 0.0720 0.9379
Ti 0.6658 0.0938 0.7279
Ti 0.7279 0.5621 0.6341
Ti 0.7279 0.6658 0.0938
Ti 0.7721 0.4062 0.8342
Ti 0.7721 0.8659 0.9379
Ti 0.8342 0.5621 0.4280
Ti 0.8342 0.7721 0.4062
Ti 0.8659 0.4280 0.0938
Ti 0.8659 0.9379 0.7721
Ti 0.9062 0.1341 0.5720
Ti 0.9062 0.2721 0.3342
Ti 0.9280 0.0621 0.3342
Ti 0.9280 0.3659 0.5938
Ti 0.9379 0.6658 0.0720
Ti 0.9379 0.7721 0.8659
Si 0.0000 0.0000 0.0000
Si 0.0000 0.0000 0.5000
Si 0.0000 0.5000 0.0000
Si 0.0000 0.5000 0.5000
Si 0.1250 0.7500 0.8750
Si 0.1250 0.8750 0.2500
Si 0.2500 0.1250 0.8750
Si 0.2500 0.6250 0.3750
Si 0.3750 0.2500 0.6250
Si 0.3750 0.6250 0.7500
Si 0.5000 0.0000 0.0000
Si 0.5000 0.0000 0.5000
Si 0.5000 0.5000 0.0000
Si 0.5000 0.5000 0.5000
Si 0.6250 0.3750 0.2500
Si 0.6250 0.7500 0.3750
Si 0.7500 0.3750 0.6250
Si 0.7500 0.8750 0.1250
Si 0.8750 0.1250 0.7500
Si 0.8750 0.2500 0.1250
Tc 0.1250 0.2500 0.3750
Tc 0.1250 0.3750 0.7500
Tc 0.2500 0.3750 0.1250
Tc 0.2500 0.8750 0.6250
Tc 0.3750 0.1250 0.2500
Tc 0.3750 0.7500 0.1250
Tc 0.6250 0.2500 0.8750
Tc 0.6250 0.8750 0.7500
Tc 0.7500 0.1250 0.3750
Tc 0.7500 0.6250 0.8750
Tc 0.8750 0.6250 0.2500
Tc 0.8750 0.7500 0.6250


[4]
Entry from the Alexandria database: an optimized crystal structure of La2SiAg2 (GGA-PBE).

## Properties
ΔE_f (raw): -0.262 eV/atom
space group: P4/mbm (127)
density of states at the Fermi level: 6.936 states/eV per cell

a = 7.3466 Å, b = 7.3466 Å, c = 4.6181 Å
α = 90.00°, β = 90.00°, γ = 90.00°
Fractional coordinates of all 10 atoms:
La 0.1766 0.3234 0.0000
La 0.3234 0.8234 0.0000
La 0.6766 0.1766 0.0000
La 0.8234 0.6766 0.0000
Si 0.0000 0.0000 0.5000
Si 0.5000 0.5000 0.5000
Ag 0.1334 0.6334 0.5000
Ag 0.3666 0.1334 0.5000
Ag 0.6334 0.8666 0.5000
Ag 0.8666 0.3666 0.5000


[5]
Entry from the Alexandria database: an optimized crystal structure of Ac3In4Ni2 (GGA-PBE).

## Properties
energy of formation from the pure elements: -0.367 eV per atom
space group: C2/m (12)
density of states at the Fermi level: 7.916 states/eV per cell

a = 6.3291 Å, b = 6.3291 Å, c = 8.8371 Å
α = 91.57°, β = 91.57°, γ = 43.78°
Fractional coordinates of all 9 atoms:
Ac 0.0000 0.0000 0.0000
Ac 0.3905 0.3905 0.3030
Ac 0.6095 0.6095 0.6970
In 0.1073 0.1073 0.3850
In 0.2949 0.2949 0.8898
In 0.7051 0.7051 0.1102
In 0.8927 0.8927 0.6150
Ni 0.2792 0.2792 0.5862
Ni 0.7208 0.7208 0.4138


[6]
Entry from the Alexandria database: an optimized crystal structure of Cu2SiBr (GGA-PBE).

## Properties
ΔE_f (raw): 0.578 eV/atom
space group: P4/mmm (123)
density of states at the Fermi level: 1.793 states/eV per cell

a = 4.7012 Å, b = 4.7012 Å, c = 2.9810 Å
α = 90.00°, β = 90.00°, γ = 90.00°
Fractional coordinates of all 4 atoms:
Cu 0.0000 0.5000 0.0000
Cu 0.5000 0.0000 0.0000
Si 0.0000 0.0000 0.5000
Br 0.5000 0.5000 0.5000